(1)
Entry from the Alexandria database: a relaxed structure of SiSbOsI2 (PBE).

Summary:
Its crystal system is tetragonal. Its density of states at the Fermi level is 1.030 states/eV per atom. The space group is P4/mmm.

Unit cell a=5.3178 b=5.3178 c=5.4501 alpha=90.00 beta=90.00 gamma=90.00
Fractional coordinates of all 5 atoms:
Si 0.0000 0.0000 0.0000
Sb 0.0000 0.0000 0.5000
Os 0.5000 0.5000 0.5000
I 0.0000 0.5000 0.0000
I 0.5000 0.0000 0.0000

(2)
Entry from the Alexandria database: a relaxed structure of TaSb2OsI (PBE).

Summary:
Its crystal system is tetragonal. Its density of states at the Fermi level is 1.092 states/eV per atom. The space group is P4/mmm.

Unit cell a=5.0461 b=5.0461 c=5.5253 alpha=90.00 beta=90.00 gamma=90.00
Fractional coordinates of all 5 atoms:
Ta 0.0000 0.0000 0.0000
Sb 0.0000 0.5000 0.5000
Sb 0.5000 0.0000 0.5000
Os 0.5000 0.5000 0.5000
I 0.5000 0.5000 0.0000

(3)
Entry from the Alexandria database: a relaxed structure of TaSb2OsI (PBE).

Summary:
Its crystal system is tetragonal. Its density of states at the Fermi level is 2.049 states/eV per atom. The space group is P4/mmm.

Unit cell a=5.5223 b=5.5223 c=4.9706 alpha=90.00 beta=90.00 gamma=90.00
Fractional coordinates of all 5 atoms:
Ta 0.0000 0.0000 0.0000
Sb 0.0000 0.5000 0.5000
Sb 0.5000 0.0000 0.5000
Os 0.5000 0.5000 0.0000
I 0.0000 0.0000 0.5000

(4)
Entry from the Alexandria database: a relaxed structure of TaSb2OsI (PBE).

Summary:
Its crystal system is tetragonal. Its density of states at the Fermi level is 1.197 states/eV per atom. The space group is P4/mmm.

Unit cell a=5.3650 b=5.3650 c=5.3599 alpha=90.00 beta=90.00 gamma=90.00
Fractional coordinates of all 5 atoms:
Ta 0.0000 0.0000 0.0000
Sb 0.0000 0.5000 0.0000
Sb 0.5000 0.0000 0.0000
Os 0.5000 0.5000 0.5000
I 0.0000 0.0000 0.5000

Number 1: polymorph energy (0 for the lowest one) 12.074 kcal/mol of atoms, raw total energy -15.88 eV per formula unit, raw formation energy 1.599 eV per atom. Number 2: polymorph energy (0 for the lowest one) 0.000 kcal/mol of atoms, raw total energy -25.75 eV per formula unit, raw formation energy 1.426 eV per atom. Number 3: polymorph energy (0 for the lowest one) 30.079 kcal/mol of atoms, raw total energy -19.23 eV per formula unit, raw formation energy 2.730 eV per atom. Number 4: polymorph energy (0 for the lowest one) 4.607 kcal/mol of atoms, raw total energy -24.75 eV per formula unit, raw formation energy 1.626 eV per atom.